(1)
# Tl2CoSi

A geometry-optimized Tl2CoSi structure (PBEsol, Alexandria via LeMat-Bulk).

a = 6.677 Å, b = 6.677 Å, c = 6.677 Å
α = 154.43°, β = 141.85°, γ = 46.49°
Fractional coordinates of all 4 atoms:
1 Tl 0.000 0.000 0.000
2 Tl 0.697 0.197 0.500
3 Co 0.226 0.726 0.500
4 Si 0.366 0.366 0.000

Values from the calculation:
The uncorrected formation energy is 0.31 eV/atom.

(2)
# Y2Al3Co9

A geometry-optimized Y2Al3Co9 structure (PBEsol, Alexandria via LeMat-Bulk).

a = 7.194 Å, b = 7.194 Å, c = 8.255 Å
α = 90.00°, β = 90.00°, γ = 60.22°
Fractional coordinates of all 28 atoms:
1 Y 0.017 0.675 0.750
2 Y 0.325 0.983 0.750
3 Y 0.675 0.017 0.250
4 Y 0.983 0.325 0.250
5 Al 0.000 0.000 0.000
6 Al 0.000 0.000 0.500
7 Al 0.313 0.313 0.000
8 Al 0.313 0.313 0.500
9 Al 0.687 0.687 0.000
10 Al 0.687 0.687 0.500
11 Co 0.021 0.659 0.094
12 Co 0.021 0.659 0.406
13 Co 0.167 0.833 0.250
14 Co 0.341 0.979 0.094
15 Co 0.341 0.979 0.406
16 Co 0.344 0.656 0.502
17 Co 0.344 0.656 0.998
18 Co 0.354 0.464 0.250
19 Co 0.464 0.354 0.750
20 Co 0.536 0.646 0.250
21 Co 0.646 0.536 0.750
22 Co 0.656 0.344 0.002
23 Co 0.656 0.344 0.498
24 Co 0.659 0.021 0.594
25 Co 0.659 0.021 0.906
26 Co 0.833 0.167 0.750
27 Co 0.979 0.341 0.594
28 Co 0.979 0.341 0.906

(3)
# ScCd3S

A geometry-optimized ScCd3S structure (PBEsol, Alexandria via LeMat-Bulk).

a = 5.426 Å, b = 5.426 Å, c = 5.426 Å
α = 90.00°, β = 90.00°, γ = 90.00°
Fractional coordinates of all 5 atoms:
1 Sc 0.000 0.000 0.000
2 Cd 0.000 0.000 0.500
3 Cd 0.000 0.500 0.000
4 Cd 0.500 0.000 0.000
5 S 0.500 0.500 0.500

Values from the calculation:
The uncorrected formation energy is 0.93 eV/atom.

(4)
# TiAlTl2

A geometry-optimized TiAlTl2 structure (PBEsol, Alexandria via LeMat-Bulk).

a = 4.922 Å, b = 4.922 Å, c = 4.922 Å
α = 60.00°, β = 60.00°, γ = 60.00°
Fractional coordinates of all 4 atoms:
1 Ti 0.000 0.000 0.000
2 Al 0.500 0.500 0.500
3 Tl 0.250 0.250 0.250
4 Tl 0.750 0.750 0.750

(5)
# KRb2Ag2

A geometry-optimized KRb2Ag2 structure (PBEsol, Alexandria via LeMat-Bulk).

a = 8.852 Å, b = 8.852 Å, c = 5.197 Å
α = 90.00°, β = 90.00°, γ = 90.00°
Fractional coordinates of all 10 atoms:
1 K 0.000 0.000 0.000
2 K 0.500 0.500 0.000
3 Rb 0.167 0.333 0.500
4 Rb 0.333 0.833 0.500
5 Rb 0.667 0.167 0.500
6 Rb 0.833 0.667 0.500
7 Ag 0.110 0.610 0.000
8 Ag 0.390 0.110 0.000
9 Ag 0.610 0.890 0.000
10 Ag 0.890 0.390 0.000

(6)
# AlAu3

A geometry-optimized AlAu3 structure (PBEsol, Alexandria via LeMat-Bulk).

a = 5.099 Å, b = 7.599 Å, c = 7.018 Å
α = 90.00°, β = 90.00°, γ = 90.00°
Fractional coordinates of all 16 atoms:
1 Al 0.192 0.250 0.065
2 Al 0.308 0.750 0.565
3 Al 0.692 0.250 0.435
4 Al 0.808 0.750 0.935
5 Au 0.067 0.250 0.670
6 Au 0.212 0.557 0.867
7 Au 0.212 0.943 0.867
8 Au 0.288 0.057 0.367
9 Au 0.288 0.443 0.367
10 Au 0.433 0.750 0.170
11 Au 0.567 0.250 0.830
12 Au 0.712 0.557 0.633
13 Au 0.712 0.943 0.633
14 Au 0.788 0.057 0.133
15 Au 0.788 0.443 0.133
16 Au 0.933 0.750 0.330

(7)
# LaCd2Fe

A geometry-optimized LaCd2Fe structure (PBEsol, Alexandria via LeMat-Bulk).

a = 6.297 Å, b = 6.297 Å, c = 3.142 Å
α = 102.11°, β = 102.11°, γ = 127.99°
Fractional coordinates of all 4 atoms:
1 La 0.000 0.000 0.000
2 Cd 0.000 0.500 0.500
3 Cd 0.500 0.000 0.500
4 Fe 0.500 0.500 0.000

(8)
# NiAsS2

A geometry-optimized NiAsS2 structure (PBEsol, Alexandria via LeMat-Bulk).

a = 7.251 Å, b = 7.251 Å, c = 7.251 Å
α = 28.68°, β = 28.68°, γ = 28.68°
Fractional coordinates of all 4 atoms:
1 Ni 0.000 0.000 0.000
2 As 0.500 0.500 0.500
3 S 0.099 0.099 0.099
4 S 0.901 0.901 0.901

Values from the calculation:
The uncorrected formation energy is 0.15 eV/atom.

Energy list, top to bottom, in Ry/atom: -0.32193; -0.52246; -0.14598; -0.29639; -0.13324; -0.30873; -0.28251; -0.35739